No. 1
CsRb2NaBi (GGA-PBE, optimized geometry); formation enthalpy at 0 K = -0.1598 eV/atom; excess energy over the best structure of this formula in the dataset = 0.0000 eV/atom; symmetry = P4/mmm, No. 123
1.0
-6.884 0.000 -2.712
2.149 -4.511 -5.457
-1.390 -4.931 3.529
Cs Na Bi Rb
1 1 1 2
Direct
0.500 0.500 0.500
0.000 0.000 0.500
0.000 0.000 0.000
0.000 0.500 0.000
0.500 0.000 0.000

=====

No. 2
LiYSbPt (GGA-PBE, optimized geometry); formation energy from raw total energies = -0.7563 eV per atom; symmetry = F-43m, No. 216
1.0
-2.573 -3.854 1.355
2.047 -4.372 0.054
0.941 -2.173 4.208
Y Sb Pt Li
1 1 1 1
Direct
0.000 0.000 0.000
0.500 0.500 0.500
0.750 0.750 0.750
0.250 0.250 0.250

=====

No. 3
Ta5Re3 (GGA-PBE, optimized geometry); formation enthalpy at 0 K = -0.3437 eV/atom; excess energy over the best structure of this formula in the dataset = 0.0311 eV/atom; symmetry = Cmmm, No. 65
1.0
-4.761 0.826 2.785
-0.367 -3.689 4.168
2.133 2.927 2.778
Re Ta
3 5
Direct
0.500 0.500 0.000
0.249 0.249 0.500
0.751 0.751 0.500
0.000 0.000 0.000
0.000 0.500 0.000
0.500 0.000 0.000
0.746 0.254 0.500
0.254 0.746 0.500

=====

No. 4
CsRbAs (GGA-PBE, optimized geometry); formation enthalpy at 0 K = -0.1136 eV/atom; excess energy over the best structure of this formula in the dataset = 0.1940 eV/atom; symmetry = I4mm, No. 107
1.0
-0.430 2.172 -3.940
-4.320 0.905 0.970
4.139 3.886 4.283
Cs As Rb
1 1 1
Direct
0.303 0.303 0.606
0.959 0.959 0.919
0.587 0.587 0.175

=====

No. 5
NaTeN2 (GGA-PBE, optimized geometry); formation energy from raw total energies = 0.7829 eV per atom; excess energy over the best structure of this formula in the dataset = 1.0521 eV/atom; symmetry = R-3m, No. 166
1.0
1.935 0.000 6.787
-0.968 1.676 6.787
-0.968 -1.676 6.787
Na Te N
1 1 2
Direct
0.000 0.000 0.000
0.500 0.500 0.500
0.889 0.889 0.889
0.111 0.111 0.111

=====

No. 6
Y4TmSc5 (GGA-PBE, optimized geometry); formation enthalpy at 0 K = 0.2266 eV/atom; excess energy over the best structure of this formula in the dataset = 0.1359 eV/atom; symmetry = I4mm, No. 107
1.0
5.589 0.000 0.000
2.795 7.217 0.000
2.795 0.000 7.217
Y Tm Sc
4 1 5
Direct
0.457 0.318 0.682
0.775 0.682 0.682
0.139 0.318 0.318
0.457 0.682 0.318
0.213 0.000 0.000
0.754 0.378 0.000
0.133 0.000 0.622
0.754 0.000 0.378
0.133 0.622 0.000
0.695 0.000 0.000

=====

No. 7
AuI (GGA-PBE, optimized geometry); formation energy from raw total energies = -0.0552 eV per atom; symmetry = P2_12_12_1, No. 19
1.0
7.629 0.000 0.000
0.000 7.835 0.000
0.000 0.000 10.507
Au I
8 8
Direct
0.478 0.022 0.150
0.978 0.478 0.850
0.522 0.522 0.350
0.022 0.978 0.650
0.227 0.777 0.849
0.727 0.723 0.151
0.773 0.277 0.651
0.273 0.223 0.349
0.207 0.041 0.000
0.707 0.459 0.000
0.793 0.541 0.500
0.293 0.959 0.500
0.269 0.497 0.715
0.769 0.003 0.285
0.731 0.997 0.785
0.231 0.503 0.215

=====

No. 8
CsNaPa2S5 (GGA-PBE, optimized geometry); formation energy from raw total energies = -1.5353 eV per atom; symmetry = I4/mcm, No. 140
1.0
7.681 0.000 0.000
0.000 7.681 0.000
-3.841 -3.841 7.780
Cs Na Pa S
2 2 4 10
Direct
0.250 0.250 0.500
0.750 0.750 0.500
0.250 0.750 0.500
0.750 0.250 0.500
0.161 0.339 0.000
0.661 0.161 0.000
0.339 0.839 0.000
0.839 0.661 0.000
0.965 0.465 0.220
0.745 0.245 0.780
0.035 0.535 0.780
0.245 0.035 0.780
0.535 0.745 0.780
0.755 0.965 0.220
0.465 0.255 0.220
0.255 0.755 0.220
0.500 0.500 0.000
0.000 0.000 0.000

=====

| no. | DOS at the Fermi energy (states/eV per cell) |
| --- | --- |
| 1 | 3.0 |
| 2 | 2.7 |
| 3 | 2.7 |
| 4 | 2.2 |
| 5 | 1.1 |
| 6 | 15.2 |
| 7 | 0.0 |
| 8 | 8.7 |